MoPb2SF GGA+U relaxed; N(E_F) = 1.48 states/eV/f.u.; crystal system = tetragonal; energy = -4.127 eV/atom
1.0
5.456 0.000 0.000
0.000 5.456 0.000
0.000 0.000 4.535
Mo Pb S F
1 2 1 1
Cartesian
0.000 0.000 0.000
0.000 2.728 0.000
2.728 0.000 0.000
0.000 0.000 2.267
2.728 2.728 2.267